No. 1
Here is KZn2BiBr8 after structural relaxation from Alexandria via LeMat-Bulk. Energies are from PBE-GGA.

The total magnetization is 0.000 Bohr magnetons per cell. The calculation puts the formation energy from raw total energies at -907 meV per atom.

The structure in POSCAR format:
```
KZn2BiBr8
1.0
3.3836 1.9535 10.8204
-3.3836 1.9535 10.8204
0.0000 -3.9070 10.8204
K Zn Bi Br
1 2 1 8
Cartesian
0.0000 0.0000 0.0000 K
0.0000 0.0000 8.1054 Zn
0.0000 0.0000 24.3559 Zn
0.0000 0.0000 16.2306 Bi
-1.0479 -1.9715 14.3414 Br
-1.1834 -1.8932 18.1199 Br
0.0000 0.0000 10.4642 Br
-1.1834 1.8932 14.3414 Br
-1.0479 1.9715 18.1199 Br
0.0000 0.0000 21.9971 Br
2.2313 0.0782 14.3413 Br
2.2313 -0.0782 18.1199 Br
```

=====

No. 2
Here is La2BiBr2 after structural relaxation from Alexandria via LeMat-Bulk. Energies are from PBE-GGA.

The total magnetization is 0.001 Bohr magnetons per cell. The calculation puts the formation energy from raw total energies at -1516 meV per atom.

The structure in POSCAR format:
```
La2BiBr2
1.0
2.2673 1.3090 10.8921
-2.2673 1.3090 10.8921
0.0000 -2.6181 10.8921
La Bi Br
2 1 2
Cartesian
0.0000 0.0000 3.5537 La
0.0000 0.0000 29.1228 La
0.0000 0.0000 16.3382 Bi
0.0000 0.0000 9.0594 Br
0.0000 0.0000 23.6170 Br
```

=====

No. 3
Here is LaBiBr after structural relaxation from Alexandria via LeMat-Bulk. Energies are from PBE-GGA.

The total magnetization is 0.000 Bohr magnetons per cell. The calculation puts the formation energy from raw total energies at -1273 meV per atom. The energy above the most stable polymorph in this dataset comes out at 0 meV/atom.

The structure in POSCAR format:
```
LaBiBr
1.0
4.5464 0.0000 0.0000
-2.1890 5.9816 0.0000
-0.0675 -3.3060 7.6040
La Bi Br
2 2 2
Cartesian
0.0075 1.4174 1.5627 La
2.2824 1.2582 6.0413 La
0.1669 4.9240 1.0664 Bi
2.1229 -2.2484 6.5375 Bi
0.0116 0.0310 4.3949 Br
2.2782 2.6446 3.2090 Br
```